The following is a GGA-PBE calculation of crystalline Be2AsP at its relaxed geometry, from the Alexandria database.

Values from the calculation:
The energy of formation from the pure elements is 0.516 eV per atom. As for the volume: 12.91 Å³/atom. The space group is P4/mmm (123). For the total DFT energy (no corrections), the calculation gives -15.4 eV per cell.

Structure (POSCAR):
```
Be2AsP
1.0
4.414 0.000 0.000
0.000 4.414 0.000
0.000 0.000 2.651
Be As P
2 1 1
direct
0.000 0.500 0.000
0.500 0.000 0.000
0.000 0.000 0.500
0.500 0.500 0.500
```